This record from Alexandria describes Mg2CdTc after structural relaxation. The functional is GGA-PBE.

Output
Total moment, μB per formula unit: 0.89
E, eV/cell: -13.799
Space-group type: No. 123
Energy of formation, eV per atom: 0.168

Cell lengths 2.9088, 2.9088, 8.8539 Å; angles 90.00, 90.00, 90.00 degrees
Closest atoms and distances in Å follow each position.
Atoms (fractional coordinates):
Mg 0.0000 0.0000 0.2241  4 Tc 2.86, 4 Mg 2.91, 4 Cd 3.19
Mg 0.0000 0.0000 0.7759  4 Tc 2.86, 4 Mg 2.91, 4 Cd 3.19
Cd 0.5000 0.5000 0.5000  4 Cd 2.91, 8 Mg 3.19
Tc 0.5000 0.5000 0.0000  8 Mg 2.86, 4 Tc 2.91